Record 1
PrPC: optimized geometry, PBE.

abc: 7.6366 3.1312 8.6997
angles: 90.00 101.01 90.00
Space group C2/m (No. 12)
Inequivalent atoms, fractional coordinates:
Pr  0.0305  0.0000  0.1986
P  0.2012  0.0000  0.5668
C  0.2096  0.5000  0.9819

Formation energy from the elements (eV per atom): 0.04

***

Record 2
Pr4PCSe2: optimized geometry, PBE.

abc: 7.1430 4.0929 7.3250
angles: 90.00 108.70 90.00
Space group P2/m (No. 10)
Inequivalent atoms, fractional coordinates:
Pr  0.2240  0.0000  0.2156
Pr  0.2416  0.5000  0.7772
P  0.5000  0.0000  0.0000
C  0.0000  0.5000  0.0000
Se  0.0000  0.0000  0.5000
Se  0.5000  0.5000  0.5000

Formation energy from raw total energies (eV/f.u.): -10.9

***

Record 3
Pr6P2CSe3: optimized geometry, PBE.

abc: 18.3693 4.1296 8.4821
angles: 90.00 104.73 90.00
Space group C2/m (No. 12)
Inequivalent atoms, fractional coordinates:
Pr  0.0014  0.0000  0.2174
Pr  0.1507  0.5000  0.0843
Pr  0.1691  0.5000  0.5746
P  0.1655  0.0000  0.3324
C  0.0000  0.5000  0.0000
Se  0.0000  0.5000  0.5000
Se  0.1697  0.0000  0.8357

Formation energy from raw total energies (eV/f.u.): -18.0

***

Record 4
Pr8Te4P3C: optimized geometry, PBE.

abc: 8.4899 8.4899 22.0274
angles: 90.00 90.00 120.00
Space group R-3m (No. 166, hexagonal axes)
Inequivalent atoms, fractional coordinates:
Pr  0.0000  0.0000  0.2384
Pr  0.0183  0.5092  0.2355
Te  0.0000  0.0000  0.0000
Te  0.0000  0.5000  0.0000
P  0.0000  0.5000  0.5000
C  0.0000  0.0000  0.5000

Formation energy from raw total energies (eV/f.u.): -21.7

***

Number 1: total energy -6.43 eV per atom, density of states at the Fermi level 0.42 states/eV/atom. Number 2: total energy -6.45 eV per atom, density of states at the Fermi level 0.22 states/eV/atom. Number 3: total energy -6.43 eV per atom, density of states at the Fermi level 0.33 states/eV/atom. Number 4: total energy -6.12 eV per atom, density of states at the Fermi level 0.35 states/eV/atom.